# 1
First-principles (PBE) data for a relaxed LiTl5Pd6 crystal, as listed in the Alexandria database.

CIF file:
```
data_LiTl5Pd6
_chemical_formula_sum 'Li1 Tl5 Pd6'
_cell_length_a 8.0812
_cell_length_b 8.0812
_cell_length_c 4.6101
_cell_angle_alpha 104.95
_cell_angle_beta 104.95
_cell_angle_gamma 51.12
_symmetry_space_group_name_H-M 'P 1'
_symmetry_Int_Tables_number 1
_symmetry_space_group_name_Hall 'P 1'
loop_
_atom_site_label
_atom_site_type_symbol
_atom_site_fract_x
_atom_site_fract_y
_atom_site_fract_z
_atom_site_occupancy
Li1 Li 0.0000 0.0000 0.0000 1
Tl1 Tl 0.1492 0.1492 0.6504 1
Tl2 Tl 0.3238 0.3238 0.3273 1
Tl3 Tl 0.5000 0.5000 0.0000 1
Tl4 Tl 0.6762 0.6762 0.6727 1
Tl5 Tl 0.8508 0.8508 0.3496 1
Pd1 Pd 0.0865 0.5924 0.8421 1
Pd2 Pd 0.2712 0.7288 0.5000 1
Pd3 Pd 0.4076 0.9135 0.1579 1
Pd4 Pd 0.5924 0.0865 0.8421 1
Pd5 Pd 0.7288 0.2712 0.5000 1
Pd6 Pd 0.9135 0.4076 0.1579 1
```

## Properties
Its energy is -3.930 eV/atom. The value obtained for the density of states at the Fermi level is 4.8 states/eV per cell.

# 2
First-principles (PBE) data for a relaxed PmZnGa2 crystal, as listed in the Alexandria database.

CIF file:
```
data_PmZnGa2
_chemical_formula_sum 'Pm1 Zn1 Ga2'
_cell_length_a 5.8126
_cell_length_b 5.8126
_cell_length_c 5.8126
_cell_angle_alpha 43.12
_cell_angle_beta 43.12
_cell_angle_gamma 43.12
_symmetry_space_group_name_H-M 'P 1'
_symmetry_Int_Tables_number 1
_symmetry_space_group_name_Hall 'P 1'
loop_
_atom_site_label
_atom_site_type_symbol
_atom_site_fract_x
_atom_site_fract_y
_atom_site_fract_z
_atom_site_occupancy
Pm1 Pm 0.0000 0.0000 0.0000 1
Zn1 Zn 0.5000 0.5000 0.5000 1
Ga1 Ga 0.2187 0.2187 0.2187 1
Ga2 Ga 0.7813 0.7813 0.7813 1
```

## Properties
Its energy is -3.482 eV/atom. As for the energy above the most stable polymorph in this dataset: 72 meV per atom. The value obtained for the density of states at the Fermi level is 1.5 states/eV per cell.

no.,ρ (g cm⁻³),DFT formation energy (meV/atom)
1,12.3,-188
2,7.0,-462